NaCaLaIn: optimized geometry, GGA-PBE.

Lattice parameters (Å, degrees): 7.9586 7.9586 7.9586 90.00 90.00 90.00
Space group F-43m (No. 216)
Inequivalent atoms, fractional coordinates:
Na1 0.0000 0.0000 0.0000 (multiplicity 4)
Ca1 0.2500 0.2500 0.7500 (multiplicity 4)
La1 0.2500 0.2500 0.2500 (multiplicity 4)
In1 0.0000 0.0000 0.5000 (multiplicity 4)

## Properties
size of the total moment: 0.0 μB per formula unit
ΔE_f: -0.23 eV per atom
energy: -2.974 eV/atom